Computed, not measured: a relaxed structure of PrLuCoNi at the PBE-GGA level of DFT.

Cell: 4.802 4.802 4.802 Å, 60.00 60.00 60.00°
Fractional positions:
Pr1 0.000 0.000 0.000
Lu1 0.500 0.500 0.500
Co1 0.250 0.250 0.250
Ni1 0.750 0.750 0.750

Properties
energy: -5.7171 eV per atom
DFT formation energy: -0.17 eV/atom

---

Computed, not measured: a relaxed structure of CaPmCoIr at the PBE-GGA level of DFT.

Cell: 4.886 4.886 4.886 Å, 60.00 60.00 60.00°
Fractional positions:
Ca1 0.000 0.000 0.000
Pm1 0.500 0.500 0.500
Co1 0.250 0.250 0.250
Ir1 0.750 0.750 0.750

Properties
energy: -5.7847 eV per atom
DFT formation energy: -0.10 eV/atom

---

Computed, not measured: a relaxed structure of TiGe2PbW at the PBE-GGA level of DFT.

Cell: 4.748 4.748 5.248 Å, 90.00 90.00 90.00°
Fractional positions:
Ti1 0.000 0.000 0.000
Ge1 0.000 0.500 0.000
Ge2 0.500 0.000 0.000
Pb1 0.000 0.000 0.500
W1 0.500 0.500 0.500

Properties
energy: -5.4043 eV per atom
DFT formation energy: 1.35 eV/atom

---

Computed, not measured: a relaxed structure of K2NpRhSe4 at the PBE-GGA level of DFT.

Cell: 6.579 4.129 8.150 Å, 90.00 108.03 90.00°
Fractional positions:
K1 0.000 0.000 0.000
K2 0.500 0.500 0.000
Np1 0.000 0.500 0.500
Rh1 0.500 0.000 0.500
Se1 0.257 0.000 0.703
Se2 0.295 0.500 0.315
Se3 0.705 0.500 0.685
Se4 0.743 0.000 0.297

Properties
raw formation energy: -0.929 eV/atom
energy: -5.4819 eV per atom

---

Computed, not measured: a relaxed structure of LiCdAsPd2 at the PBE-GGA level of DFT.

Cell: 5.095 5.095 4.944 Å, 90.00 90.00 90.00°
Fractional positions:
Li1 0.000 0.000 0.000
Cd1 0.500 0.500 0.500
As1 0.500 0.500 0.000
Pd1 0.000 0.500 0.500
Pd2 0.500 0.000 0.500

Properties
energy: -3.0249 eV per atom
DFT formation energy: 0.55 eV/atom

---

Computed, not measured: a relaxed structure of LiPaAl2O6 at the PBE-GGA level of DFT.

Cell: 6.945 6.945 5.260 Å, 99.28 99.28 86.98°
Fractional positions:
Li1 0.073 0.927 0.750
Li2 0.927 0.073 0.250
Pa1 0.274 0.726 0.250
Pa2 0.726 0.274 0.750
Al1 0.208 0.380 0.690
Al2 0.380 0.208 0.190
Al3 0.620 0.792 0.810
Al4 0.792 0.620 0.310
O1 0.013 0.218 0.630
O2 0.152 0.608 0.874
O3 0.218 0.013 0.130
O4 0.289 0.415 0.394
O5 0.392 0.848 0.626
O6 0.415 0.289 0.894
O7 0.585 0.711 0.106
O8 0.608 0.152 0.374
O9 0.711 0.585 0.606
O10 0.782 0.987 0.870
O11 0.848 0.392 0.126
O12 0.987 0.782 0.370

Properties
raw formation energy: -3.049 eV/atom
energy: -7.9137 eV per atom

---

Computed, not measured: a relaxed structure of La4AsPbI2 at the PBE-GGA level of DFT.

Cell: 7.964 4.545 8.055 Å, 90.00 108.92 90.00°
Fractional positions:
La1 0.219 0.000 0.209
La2 0.240 0.500 0.780
La3 0.760 0.500 0.220
La4 0.781 0.000 0.791
As1 0.000 0.500 0.000
Pb1 0.500 0.000 0.000
I1 0.000 0.000 0.500
I2 0.500 0.500 0.500

Properties
raw formation energy: -1.130 eV/atom
energy: -5.0256 eV per atom

---

Computed, not measured: a relaxed structure of TaTe2 at the PBE-GGA level of DFT.

Cell: 7.818 7.818 9.692 Å, 112.20 112.20 27.06°
Fractional positions:
Ta1 0.000 0.000 0.000
Ta2 0.362 0.362 0.711
Ta3 0.638 0.638 0.289
Te1 0.006 0.006 0.303
Te2 0.294 0.294 0.384
Te3 0.352 0.352 0.982
Te4 0.648 0.648 0.018
Te5 0.706 0.706 0.616
Te6 0.994 0.994 0.697

Properties
raw formation energy: -0.362 eV/atom
energy: -6.4072 eV per atom

---

Computed, not measured: a relaxed structure of La3PrDyHo at the PBE-GGA level of DFT.

Cell: 8.133 5.232 10.445 Å, 90.00 108.76 90.00°
Fractional positions:
La1 0.171 0.250 0.042
La2 0.171 0.250 0.543
La3 0.173 0.750 0.293
La4 0.827 0.250 0.707
La5 0.829 0.750 0.457
La6 0.829 0.750 0.958
Pr1 0.171 0.750 0.792
Pr2 0.829 0.250 0.208
Dy1 0.500 0.250 0.876
Dy2 0.500 0.750 0.124
Ho1 0.498 0.750 0.626
Ho2 0.502 0.250 0.374

Properties
energy: -4.7610 eV per atom
DFT formation energy: 0.03 eV/atom

---

Computed, not measured: a relaxed structure of Cd2Cu5Pd12 at the PBE-GGA level of DFT.

Cell: 7.811 7.811 8.244 Å, 103.54 103.54 40.84°
Fractional positions:
Cd1 0.249 0.751 0.000
Cd2 0.751 0.249 0.000
Cu1 0.000 0.000 0.500
Cu2 0.292 0.292 0.603
Cu3 0.364 0.364 0.131
Cu4 0.636 0.636 0.869
Cu5 0.708 0.708 0.397
Pd1 0.044 0.545 0.874
Pd2 0.105 0.105 0.300
Pd3 0.110 0.604 0.391
Pd4 0.396 0.890 0.609
Pd5 0.455 0.956 0.126
Pd6 0.476 0.476 0.663
Pd7 0.524 0.524 0.337
Pd8 0.545 0.044 0.874
Pd9 0.604 0.110 0.391
Pd10 0.890 0.396 0.609
Pd11 0.895 0.895 0.700
Pd12 0.956 0.455 0.126

Properties
energy: -4.3403 eV per atom
DFT formation energy: 0.11 eV/atom

---

Computed, not measured: a relaxed structure of TlIn2Hg8Bi at the PBE-GGA level of DFT.

Cell: 7.527 7.527 10.401 Å, 120.88 120.88 46.66°
Fractional positions:
Tl1 0.000 0.000 0.000
In1 0.420 0.420 0.573
In2 0.580 0.580 0.427
Hg1 0.029 0.527 0.192
Hg2 0.158 0.158 0.367
Hg3 0.436 0.436 0.084
Hg4 0.473 0.971 0.808
Hg5 0.527 0.029 0.192
Hg6 0.564 0.564 0.916
Hg7 0.842 0.842 0.633
Hg8 0.971 0.473 0.808
Bi1 0.000 0.000 0.500

Properties
energy: -1.1380 eV per atom
DFT formation energy: 0.04 eV/atom

---

Computed, not measured: a relaxed structure of RePt3Au at the PBE-GGA level of DFT.

Cell: 4.819 4.819 4.819 Å, 90.00 90.00 90.00°
Fractional positions:
Re1 0.000 0.000 0.000
Pt1 0.000 0.000 0.500
Pt2 0.000 0.500 0.000
Pt3 0.500 0.000 0.000
Au1 0.500 0.500 0.500

Properties
energy: -5.4704 eV per atom
DFT formation energy: 1.30 eV/atom
E above lowest polymorph: 0 meV per atom